1.
Entry from the Alexandria database: a relaxed structure of KTlCr2 (PBE).

Summary:
The space-group type is I-4m2, No. 119. The value obtained for the calculated total energy is -18.5 eV for the cell shown. The energy above the most stable polymorph in this dataset comes out at 519 meV per atom. Its calculated formation energy is 101 kJ/mol of atoms.

Cell lengths 5.823, 5.823, 5.823 Å; angles 133.13, 133.13, 68.45 degrees
Atoms (fractional coordinates):
1 Cr 0.000 0.000 0.000
2 Cr 0.250 0.750 0.500
3 K 0.500 0.500 0.000
4 Tl 0.750 0.250 0.500

2.
Entry from the Alexandria database: a relaxed structure of KTl2Cr (PBE).

Summary:
The space-group type is R-3m, No. 166. The value obtained for the calculated total energy is -13.8 eV for the cell shown. The energy above the most stable polymorph in this dataset comes out at 122 meV per atom. Its calculated formation energy is 39 kJ/mol of atoms.

Cell lengths 10.057, 10.057, 10.057 Å; angles 21.46, 21.46, 21.46 degrees
Atoms (fractional coordinates):
1 Cr 0.250 0.250 0.250
2 K 0.750 0.750 0.750
3 Tl 0.984 0.984 0.984
4 Tl 0.516 0.516 0.516

3.
Entry from the Alexandria database: a relaxed structure of KTl2Cr (PBE).

Summary:
The space-group type is P4/mmm, No. 123. The value obtained for the calculated total energy is -14.3 eV for the cell shown. The energy above the most stable polymorph in this dataset comes out at 0 meV per atom. Its calculated formation energy is 28 kJ/mol of atoms.

Cell lengths 3.586, 3.586, 8.596 Å; angles 90.00, 90.00, 89.99 degrees
Atoms (fractional coordinates):
1 Cr 0.500 0.500 0.250
2 K 0.500 0.500 0.750
3 Tl 0.000 0.000 0.055
4 Tl 0.000 0.000 0.445

Among the records above, which one has the highest calculated total energy? number 2